Compound: NpTlTeO6
Source: Alexandria via LeMat-Bulk
Functional: PBE
Structure: optimized geometry

```
9
Lattice="5.783 0.000 0.000 0.063 5.913 0.000 0.070 2.781 5.340" Properties=species:S:1:pos:R:3 pbc="T T T"
Np 0.000 0.000 0.000
Tl 2.981 5.904 3.741
Te 5.783 2.840 1.530
O 1.093 2.021 0.163
O 1.159 5.182 1.328
O 1.182 2.095 3.927
O 4.656 3.354 4.035
O 4.700 3.945 0.380
O 4.721 1.177 1.487
```

Computed properties:
E ... -7.07 eV per atom
Energy relative to the elements, uncorrected ... -15.47 eV/f.u.
Space group ... P1, No. 1
Total moment ... 0.00 μB per cell